# La2BeHS PBE optimized geometry
data_La2BeHS
_cell_length_a 5.3649
_cell_length_b 5.3649
_cell_length_c 3.4607
_cell_angle_alpha 90.00
_cell_angle_beta 90.00
_cell_angle_gamma 90.00
_symmetry_space_group_name_H-M 'P 4/m m m'
_symmetry_Int_Tables_number 123
_symmetry_space_group_name_Hall '-P 4 2'
loop_
_atom_site_label
_atom_site_fract_x
_atom_site_fract_y
_atom_site_fract_z
_atom_site_occupancy
La1 0.0000 0.5000 0.0000 1
Be1 0.0000 0.0000 0.0000 1
H1 0.0000 0.0000 0.5000 1
S1 0.5000 0.5000 0.5000 1
# Energy above the most stable polymorph in this dataset   0.0 meV per atom


# La2BeHS PBE optimized geometry
data_La2BeHS
_cell_length_a 5.2591
_cell_length_b 5.2591
_cell_length_c 3.9113
_cell_angle_alpha 90.00
_cell_angle_beta 90.00
_cell_angle_gamma 90.00
_symmetry_space_group_name_H-M 'P 4/m m m'
_symmetry_Int_Tables_number 123
_symmetry_space_group_name_Hall '-P 4 2'
loop_
_atom_site_label
_atom_site_fract_x
_atom_site_fract_y
_atom_site_fract_z
_atom_site_occupancy
La1 0.0000 0.5000 0.0000 1
Be1 0.0000 0.0000 0.0000 1
H1 0.5000 0.5000 0.5000 1
S1 0.0000 0.0000 0.5000 1
# Energy above the most stable polymorph in this dataset   238.0 meV per atom